Record 1
A plane-wave DFT calculation with PBE was carried out for an optimized crystal structure of Ac2ZnAg2Pd5.

Structure (extended XYZ):
```
20
Lattice="-3.474 0.357 -1.914 3.961 -4.728 -8.072 -2.997 -8.945 3.769" Properties=species:S:1:pos:R:3 pbc="T T T"
Pd 1.441 -6.030 -7.884
Pd -0.336 -7.106 -4.861
Pd -1.628 -8.628 -2.800
Pd -3.951 -7.286 1.667
Pd -3.235 -4.294 0.927
Pd -2.174 -6.209 -1.357
Pd 0.244 -2.185 -4.993
Pd -0.882 -4.688 -3.418
Pd -1.382 -12.119 -3.899
Pd -1.128 -1.196 -2.319
Ac 2.150 -4.762 -4.791
Ac -1.185 -8.911 0.487
Ac -0.278 -3.733 -0.192
Ac 1.242 -9.940 -4.111
Ag 2.342 -7.488 -5.649
Ag -1.378 -6.185 1.345
Ag 1.109 -2.892 -2.553
Ag -0.145 -10.781 -1.750
Zn 0.482 -6.837 -2.152
Zn 0.000 0.000 0.000
```

Summary:
The space-group type is P4/mbm, No. 127. The calculated total energy is -4.576 eV per atom.

Record 2
A plane-wave DFT calculation with PBE was carried out for an optimized crystal structure of PdPt2Au.

Structure (extended XYZ):
```
4
Lattice="2.801 0.000 0.000 1.401 2.426 0.000 1.401 0.809 9.515" Properties=species:S:1:pos:R:3 pbc="T T T"
Pd 2.801 1.617 4.766
Pt 1.401 0.809 7.080
Pt 1.401 0.809 2.436
Au 4.202 2.426 9.506
```

Summary:
The calculation puts the relative energy among the computed polymorphs at 0.018 eV per atom. The space-group type is R3m, No. 160. The calculated total energy is -5.109 eV per atom.

Record 3
A plane-wave DFT calculation with PBE was carried out for an optimized crystal structure of Sm7IrBr12.

Structure (extended XYZ):
```
20
Lattice="-2.121 9.230 0.257 -4.505 -3.626 -7.505 -3.918 -3.915 7.687" Properties=species:S:1:pos:R:3 pbc="T T T"
Br -3.550 1.184 -2.066
Br -7.832 -3.496 1.350
Br -4.070 -2.647 -3.390
Br -6.993 0.505 2.506
Br -7.309 -0.465 -1.342
Br -3.234 2.155 1.781
Br -6.659 3.319 -0.291
Br -3.451 -0.898 4.727
Br -2.711 5.185 -0.910
Br -3.884 -1.629 0.730
Br -6.474 4.336 3.830
Br -7.092 2.588 -4.288
Sm -1.196 2.411 -0.541
Sm -8.704 3.035 1.971
Sm -9.024 2.026 -1.822
Sm -1.839 -1.345 -1.531
Sm -5.272 0.845 0.220
Sm -9.347 -0.722 0.980
Sm -1.519 -0.336 2.262
Ir 0.000 0.000 0.000
```

Summary:
The space-group type is R-3, No. 148. The uncorrected formation energy comes out at -1.64 eV/atom. The calculated total energy is -4.742 eV per atom.

Record 4
A plane-wave DFT calculation with PBE was carried out for an optimized crystal structure of SrAc3Ir8.

Structure (extended XYZ):
```
12
Lattice="5.312 0.000 1.603 2.414 4.731 1.603 -0.004 -0.003 9.613" Properties=species:S:1:pos:R:3 pbc="T T T"
Ir 7.242 4.435 9.614
Ir 6.039 2.066 4.011
Ir 4.585 4.440 4.011
Ir 4.583 4.435 8.811
Ir 6.034 2.067 8.811
Ir 1.448 0.887 4.804
Ir 3.374 2.066 3.206
Ir 5.307 3.250 11.218
Ac 7.708 4.721 3.263
Ac 2.898 1.775 9.598
Ac 3.877 2.375 6.355
Sr 6.753 4.136 6.428
```

Summary:
The space-group type is R3m, No. 160. The calculated total energy is -7.569 eV per atom.

Among the records above, which one has the lowest calculated total energy?
SrAc3Ir8